Computed, not measured: crystalline KCdAs2Br at its relaxed geometry at the PBE level of DFT.

Computed properties:
N(E_F) ... 2.13 states/eV per cell
Calculated density ... 3.7 g/cm³
Formation energy from raw total energies ... 0.04 eV per formula unit
Crystal system ... tetragonal

Lattice parameters (Å, degrees): 5.194 5.194 6.310 90.00 90.00 90.00
Space group P4/mmm (No. 123)
Inequivalent atoms, fractional coordinates:
1 K 0.000 0.000 0.000
2 Cd 0.500 0.500 0.500
3 As 0.000 0.500 0.500
4 Br 0.500 0.500 0.000